A plane-wave DFT calculation with PBE was carried out for a geometry-optimized BaLi2TlCl8 structure.

Lattice parameters (Å, degrees): 6.5414 6.5414 8.6448 90.00 90.00 120.00
Space group P-3 (No. 147)
One atom of each set of equivalent atoms:
Ba 0.0000 0.0000 0.0000 [1 per cell]
Li 0.3333 0.6667 0.7187 [2 per cell]
Tl 0.0000 0.0000 0.5000 [1 per cell]
Cl 0.0190 0.6993 0.3092 [6 per cell]
Cl 0.3333 0.6667 0.9934 [2 per cell]

Calculated values
total magnetization = 1.034 μB/f.u.
formation energy from raw total energies = -15.9 eV per formula unit
VASP energy = -3.229 eV per atom

=====

A plane-wave DFT calculation with PBE was carried out for a geometry-optimized Ba2LiTlCl structure.

Lattice parameters (Å, degrees): 6.268 6.268 4.626 90.00 90.00 90.00
Space group P4/mmm (No. 123)
One atom of each set of equivalent atoms:
Ba 0.000 0.500 0.000 [2 per cell]
Li 0.000 0.000 0.500 [1 per cell]
Tl 0.500 0.500 0.500 [1 per cell]
Cl 0.000 0.000 0.000 [1 per cell]

Calculated values
total magnetization = 0.000 μB/f.u.
formation energy from raw total energies = -4.1 eV per formula unit
VASP energy = -2.820 eV per atom

=====

A plane-wave DFT calculation with PBE was carried out for a geometry-optimized BaLi2TmCl8 structure.

Lattice parameters (Å, degrees): 6.6092 6.6092 8.6653 90.00 90.00 120.00
Space group P-3 (No. 147)
One atom of each set of equivalent atoms:
Ba 0.0000 0.0000 0.0000 [1 per cell]
Li 0.3333 0.6667 0.7261 [2 per cell]
Tm 0.0000 0.0000 0.5000 [1 per cell]
Cl 0.0072 0.6977 0.3112 [6 per cell]
Cl 0.3333 0.6667 0.9985 [2 per cell]

Calculated values
total magnetization = 1.184 μB/f.u.
formation energy from raw total energies = -22.3 eV per formula unit
VASP energy = -3.939 eV per atom

=====

A plane-wave DFT calculation with PBE was carried out for a geometry-optimized Ba2LiVCl6 structure.

Lattice parameters (Å, degrees): 7.011 9.940 7.012 90.00 90.00 90.00
Space group Pmmn (No. 59, origin choice 2)
One atom of each set of equivalent atoms:
Ba 0.250 0.000 0.250 [4 per cell]
Li 0.250 0.250 0.750 [2 per cell]
V 0.250 0.750 0.750 [2 per cell]
Cl 0.001 0.250 0.501 [4 per cell]
Cl 0.001 0.250 0.999 [4 per cell]
Cl 0.250 0.001 0.750 [4 per cell]

Calculated values
total magnetization = 3.469 μB/f.u.
formation energy from raw total energies = -17.8 eV per formula unit
VASP energy = -4.372 eV per atom

=====

A plane-wave DFT calculation with PBE was carried out for a geometry-optimized BaLi2YCl8 structure.

Lattice parameters (Å, degrees): 6.6442 6.6442 8.7470 90.00 90.00 120.00
Space group P-3 (No. 147)
One atom of each set of equivalent atoms:
Ba 0.0000 0.0000 0.0000 [1 per cell]
Li 0.3333 0.6667 0.7320 [2 per cell]
Y 0.0000 0.0000 0.5000 [1 per cell]
Cl 0.0040 0.6955 0.3072 [6 per cell]
Cl 0.3333 0.6667 0.0009 [2 per cell]

Calculated values
total magnetization = 1.192 μB/f.u.
formation energy from raw total energies = -22.2 eV per formula unit
VASP energy = -4.099 eV per atom

=====

A plane-wave DFT calculation with PBE was carried out for a geometry-optimized BaLiYCl6 structure.

Lattice parameters (Å, degrees): 6.8379 6.8379 13.4387 90.00 90.00 120.00
Space group P-31c (No. 163)
One atom of each set of equivalent atoms:
Ba 0.0000 0.0000 0.0000 [2 per cell]
Li 0.3333 0.6667 0.2500 [2 per cell]
Y 0.3333 0.6667 0.7500 [2 per cell]
Cl 0.0037 0.3680 0.1386 [12 per cell]

Calculated values
total magnetization = 0.000 μB/f.u.
formation energy from raw total energies = -20.3 eV per formula unit
VASP energy = -4.632 eV per atom

=====

A plane-wave DFT calculation with PBE was carried out for a geometry-optimized BaLi2ZrCl8 structure.

Lattice parameters (Å, degrees): 6.284 6.300 8.848 89.91 89.91 81.35
Space group P-1 (No. 2)
One atom of each set of equivalent atoms:
Ba 0.000 0.000 0.000 [1 per cell]
Li 0.500 0.500 0.189 [2 per cell]
Zr 0.000 0.000 0.500 [1 per cell]
Cl 0.224 0.794 0.706 [2 per cell]
Cl 0.225 0.795 0.294 [2 per cell]
Cl 0.241 0.265 0.500 [2 per cell]
Cl 0.314 0.329 0.000 [2 per cell]

Calculated values
total magnetization = 0.000 μB/f.u.
formation energy from raw total energies = -23.1 eV per formula unit
VASP energy = -4.349 eV per atom

=====

A plane-wave DFT calculation with PBE was carried out for a geometry-optimized BaMgCl4 structure.

Lattice parameters (Å, degrees): 6.875 7.103 6.949 90.00 96.82 90.00
Space group P2_1/c (No. 14)
One atom of each set of equivalent atoms:
Ba 0.000 0.000 0.000 [2 per cell]
Mg 0.500 0.000 0.500 [2 per cell]
Cl 0.187 0.136 0.404 [4 per cell]
Cl 0.353 0.702 0.268 [4 per cell]

Calculated values
total magnetization = 0.000 μB/f.u.
formation energy from raw total energies = -12.7 eV per formula unit
VASP energy = -3.939 eV per atom
E above lowest polymorph = 1.257 kcal/mol of atoms

=====

A plane-wave DFT calculation with PBE was carried out for a geometry-optimized Ba4MgCl structure.

Lattice parameters (Å, degrees): 10.824 10.824 10.824 90.00 90.00 90.00
Space group F-43m (No. 216)
One atom of each set of equivalent atoms:
Ba 0.125 0.125 0.125 [16 per cell]
Mg 0.000 0.000 0.500 [4 per cell]
Cl 0.250 0.250 0.750 [4 per cell]

Calculated values
total magnetization = 1.354 μB/f.u.
formation energy from raw total energies = 0.7 eV per formula unit
VASP energy = -1.744 eV per atom

=====

A plane-wave DFT calculation with PBE was carried out for a geometry-optimized Ba4Mg2Cl structure.

Lattice parameters (Å, degrees): 6.134 6.134 17.899 90.00 90.00 90.00
Space group I4/mmm (No. 139)
One atom of each set of equivalent atoms:
Ba 0.000 0.000 0.187 [4 per cell]
Ba 0.000 0.500 0.000 [4 per cell]
Mg 0.000 0.000 0.388 [4 per cell]
Cl 0.000 0.000 0.000 [2 per cell]

Calculated values
total magnetization = 2.087 μB/f.u.
formation energy from raw total energies = -2.9 eV per formula unit
VASP energy = -2.236 eV per atom

=====

A plane-wave DFT calculation with PBE was carried out for a geometry-optimized BaMgCl3 structure.

Lattice parameters (Å, degrees): 5.991 5.991 5.991 90.00 90.00 90.00
Space group Pm-3m (No. 221)
One atom of each set of equivalent atoms:
Ba 0.000 0.000 0.000 [1 per cell]
Mg 0.500 0.500 0.500 [1 per cell]
Cl 0.000 0.000 0.500 [3 per cell]

Calculated values
total magnetization = 1.000 μB/f.u.
formation energy from raw total energies = -7.1 eV per formula unit
VASP energy = -3.233 eV per atom
E above lowest polymorph = 5.894 kcal/mol of atoms

=====

A plane-wave DFT calculation with PBE was carried out for a geometry-optimized BaMg3Cl structure.

Lattice parameters (Å, degrees): 5.615 5.615 5.615 90.00 90.00 90.00
Space group Pm-3m (No. 221)
One atom of each set of equivalent atoms:
Ba 0.000 0.000 0.000 [1 per cell]
Mg 0.000 0.500 0.500 [3 per cell]
Cl 0.500 0.500 0.500 [1 per cell]

Calculated values
total magnetization = 0.000 μB/f.u.
formation energy from raw total energies = -0.5 eV per formula unit
VASP energy = -1.814 eV per atom
E above lowest polymorph = 0.000 kcal/mol of atoms

=====

A plane-wave DFT calculation with PBE was carried out for a geometry-optimized Ba2MgCl6 structure.

Lattice parameters (Å, degrees): 6.765 6.765 13.288 90.00 90.00 90.00
Space group P4_2/mnm (No. 136)
One atom of each set of equivalent atoms:
Ba 0.000 0.000 0.166 [4 per cell]
Mg 0.000 0.000 0.500 [2 per cell]
Cl 0.181 0.181 0.359 [8 per cell]
Cl 0.229 0.229 0.000 [4 per cell]

Calculated values
total magnetization = 0.000 μB/f.u.
formation energy from raw total energies = -20.1 eV per formula unit
VASP energy = -4.071 eV per atom
E above lowest polymorph = 1.747 kcal/mol of atoms

=====

A plane-wave DFT calculation with PBE was carried out for a geometry-optimized Ba3Mg5Cl12 structure.

Lattice parameters (Å, degrees): 17.448 17.448 17.448 90.00 90.00 90.00
Space group Ia-3d (No. 230)
One atom of each set of equivalent atoms:
Ba 0.000 0.250 0.125 [24 per cell]
Mg 0.000 0.000 0.000 [16 per cell]
Mg 0.000 0.250 0.375 [24 per cell]
Cl 0.036 0.069 0.674 [96 per cell]

Calculated values
total magnetization = 0.000 μB/f.u.
formation energy from raw total energies = -34.4 eV per formula unit
VASP energy = -3.513 eV per atom

=====

A plane-wave DFT calculation with PBE was carried out for a geometry-optimized Ba2MgCl6 structure.

Lattice parameters (Å, degrees): 6.853 8.031 11.637 90.00 123.59 90.00
Space group P2_1/c (No. 14)
One atom of each set of equivalent atoms:
Ba 0.220 0.104 0.256 [4 per cell]
Mg 0.500 0.000 0.000 [2 per cell]
Cl 0.144 0.157 0.952 [4 per cell]
Cl 0.292 0.714 0.946 [4 per cell]
Cl 0.357 0.028 0.753 [4 per cell]

Calculated values
total magnetization = 0.000 μB/f.u.
formation energy from raw total energies = -20.8 eV per formula unit
VASP energy = -4.147 eV per atom
E above lowest polymorph = 0.000 kcal/mol of atoms

=====

A plane-wave DFT calculation with PBE was carried out for a geometry-optimized BaMg2Cl2 structure.

Lattice parameters (Å, degrees): 4.090 4.090 18.741 90.00 90.00 90.00
Space group I4/mmm (No. 139)
One atom of each set of equivalent atoms:
Ba 0.000 0.000 0.000 [2 per cell]
Mg 0.000 0.500 0.250 [4 per cell]
Cl 0.000 0.000 0.414 [4 per cell]

Calculated values
total magnetization = 0.000 μB/f.u.
formation energy from raw total energies = -5.3 eV per formula unit
VASP energy = -2.827 eV per atom
E above lowest polymorph = 0.000 kcal/mol of atoms

=====

A plane-wave DFT calculation with PBE was carried out for a geometry-optimized Ba4Mg6Cl19 structure.

Lattice parameters (Å, degrees): 11.545 11.545 11.545 90.00 90.00 90.00
Space group I23 (No. 197)
One atom of each set of equivalent atoms:
Ba 0.167 0.167 0.167 [8 per cell]
Mg 0.000 0.160 0.500 [12 per cell]
Cl 0.000 0.000 0.000 [2 per cell]
Cl 0.000 0.000 0.345 [12 per cell]
Cl 0.044 0.288 0.678 [24 per cell]

Calculated values
total magnetization = 0.000 μB/f.u.
formation energy from raw total energies = -58.8 eV per formula unit
VASP energy = -3.831 eV per atom

=====

A plane-wave DFT calculation with PBE was carried out for a geometry-optimized BaMgCl4 structure.

Lattice parameters (Å, degrees): 8.751 8.751 8.751 90.00 90.00 90.00
Space group F-43m (No. 216)
One atom of each set of equivalent atoms:
Ba 0.000 0.000 0.000 [4 per cell]
Mg 0.250 0.250 0.250 [4 per cell]
Cl 0.125 0.125 0.625 [16 per cell]

Calculated values
total magnetization = 2.045 μB/f.u.
formation energy from raw total energies = -4.2 eV per formula unit
VASP energy = -2.523 eV per atom
E above lowest polymorph = 33.890 kcal/mol of atoms